A plane-wave DFT calculation with PBE was carried out for a relaxed LiLaLuGa crystal.

Cell and atoms, written as POSCAR:
```
LiLaLuGa
1.0
5.193 0.000 0.000
2.596 4.497 0.000
2.596 1.499 4.240
Lu La Ga Li
1 1 1 1
Direct
0.500 0.500 0.500 Lu
0.000 0.000 0.000 La
0.250 0.250 0.250 Ga
0.750 0.750 0.750 Li
```

Calculated values
The value obtained for the total magnetization is 0.000 μB/f.u. The density is 6.6 g/cm3. For the formation enthalpy at 0 K, the calculation gives -0.285 eV per atom. As for the raw total energy: -15.53 eV per formula unit.

A plane-wave DFT calculation with PBE was carried out for a relaxed LiLa2MnGa6 crystal.

Cell and atoms, written as POSCAR:
```
LiLa2MnGa6
1.0
6.612 -0.002 0.000
-0.002 6.613 0.000
3.305 3.305 4.665
Li La Mn Ga
1 2 1 6
Direct
0.500 0.500 0.000 Li
0.250 0.750 0.500 La
0.750 0.250 0.500 La
0.000 0.000 0.000 Mn
0.256 0.744 0.000 Ga
0.743 0.743 0.001 Ga
0.256 0.256 0.487 Ga
0.744 0.256 0.000 Ga
0.257 0.257 0.999 Ga
0.744 0.744 0.513 Ga
```

Calculated values
The value obtained for the total magnetization is 2.484 μB/f.u. The density is 6.2 g/cm3. For the formation enthalpy at 0 K, the calculation gives -0.313 eV per atom. As for the raw total energy: -42.23 eV per formula unit.

A plane-wave DFT calculation with PBE was carried out for a relaxed LiLa2GaN crystal.

Cell and atoms, written as POSCAR:
```
LiLa2GaN
1.0
-0.550 5.000 0.851
-4.632 -0.147 -2.131
-1.700 -0.825 3.752
N Li Ga La
1 1 1 2
Direct
0.000 0.000 0.000 N
0.000 0.000 0.500 Li
0.500 0.500 0.500 Ga
0.000 0.500 0.000 La
0.500 0.000 0.000 La
```

Calculated values
The value obtained for the uncorrected formation energy is -0.739 eV/atom. The value obtained for the total magnetization is 0.000 μB/f.u. The density is 5.6 g/cm3. As for the raw total energy: -26.82 eV per formula unit.

A plane-wave DFT calculation with PBE was carried out for a relaxed LiLaGaN2 crystal.

Cell and atoms, written as POSCAR:
```
LiLaGaN2
1.0
-1.630 1.136 3.466
4.914 -0.766 2.562
1.227 6.352 -1.506
Li La Ga N
2 2 2 4
Direct
0.474 0.000 0.250 Li
0.526 0.000 0.750 Li
0.249 0.500 0.750 La
0.751 0.500 0.250 La
0.000 0.000 0.000 Ga
0.000 0.000 0.500 Ga
0.718 0.743 0.928 N
0.718 0.257 0.572 N
0.282 0.743 0.428 N
0.282 0.257 0.072 N
```

Calculated values
The value obtained for the uncorrected formation energy is -0.496 eV/atom. The value obtained for the total magnetization is 0.000 μB/f.u. The density is 5.5 g/cm3. As for the raw total energy: -29.00 eV per formula unit.

A plane-wave DFT calculation with PBE was carried out for a relaxed LiLa2GaNi crystal.

Cell and atoms, written as POSCAR:
```
LiLa2GaNi
1.0
-0.082 4.755 -2.699
1.117 -2.628 -4.663
-4.491 -0.521 -0.782
Ni Li Ga La
1 1 1 2
Direct
0.000 0.000 0.000 Ni
0.500 0.500 0.500 Li
0.000 0.000 0.500 Ga
0.000 0.500 0.000 La
0.500 0.000 0.000 La
```

Calculated values
The value obtained for the total magnetization is 0.000 μB/f.u. The density is 5.0 g/cm3. For the formation enthalpy at 0 K, the calculation gives -0.216 eV per atom. As for the raw total energy: -21.66 eV per formula unit.

A plane-wave DFT calculation with PBE was carried out for a relaxed LiLaGa2Ni crystal.

Cell and atoms, written as POSCAR:
```
LiLaGa2Ni
1.0
-2.494 0.470 3.827
-3.752 -1.348 -2.280
0.903 -4.426 1.132
Ni Li Ga La
1 1 2 1
Direct
0.000 0.000 0.000 Ni
0.000 0.000 0.500 Li
0.000 0.500 0.000 Ga
0.500 0.000 0.000 Ga
0.500 0.500 0.500 La
```

Calculated values
The value obtained for the total magnetization is 0.000 μB/f.u. The density is 5.8 g/cm3. For the formation enthalpy at 0 K, the calculation gives -0.415 eV per atom. As for the raw total energy: -20.75 eV per formula unit.

A plane-wave DFT calculation with PBE was carried out for a relaxed LiLa2GaO5 crystal.

Cell and atoms, written as POSCAR:
```
LiLa2GaO5
1.0
-1.194 2.273 5.226
-6.189 -2.947 -0.133
2.594 -5.582 3.020
Li La Ga O
2 4 2 10
Direct
0.000 0.500 0.500 Li
0.000 0.000 0.000 Li
0.500 0.681 0.181 La
0.500 0.181 0.319 La
0.500 0.819 0.681 La
0.500 0.319 0.819 La
0.000 0.000 0.500 Ga
0.000 0.500 0.000 Ga
0.500 0.500 0.500 O
0.500 0.000 0.000 O
0.236 0.135 0.635 O
0.236 0.865 0.365 O
0.236 0.365 0.135 O
0.236 0.635 0.865 O
0.764 0.135 0.635 O
0.764 0.635 0.865 O
0.764 0.865 0.365 O
0.764 0.365 0.135 O
```

Calculated values
The value obtained for the uncorrected formation energy is -2.478 eV/atom. The value obtained for the total magnetization is 0.000 μB/f.u. The density is 5.3 g/cm3. As for the raw total energy: -61.89 eV per formula unit.

A plane-wave DFT calculation with PBE was carried out for a relaxed Li2La2GaO6 crystal.

Cell and atoms, written as POSCAR:
```
Li2La2GaO6
1.0
-2.869 4.335 -2.267
-3.631 2.972 3.185
1.449 5.493 1.575
Li La Ga O
2 2 1 6
Direct
0.427 0.427 0.718 Li
0.573 0.573 0.282 Li
0.782 0.782 0.654 La
0.218 0.218 0.346 La
0.000 0.000 0.000 Ga
0.759 0.759 0.264 O
0.218 0.759 0.264 O
0.759 0.218 0.264 O
0.241 0.782 0.736 O
0.782 0.241 0.736 O
0.241 0.241 0.736 O
```

Calculated values
The value obtained for the uncorrected formation energy is -2.233 eV/atom. The value obtained for the total magnetization is 1.067 μB/f.u. The density is 5.6 g/cm3. As for the raw total energy: -71.02 eV per formula unit.

A plane-wave DFT calculation with PBE was carried out for a relaxed LiLaGa2Pd5 crystal.

Cell and atoms, written as POSCAR:
```
LiLaGa2Pd5
1.0
-2.879 1.679 -2.531
-2.118 -3.609 0.016
-4.959 2.943 7.595
Li La Ga Pd
1 1 2 5
Direct
0.000 0.000 0.000 Li
0.000 0.000 0.500 La
0.500 0.500 0.130 Ga
0.500 0.500 0.870 Ga
0.000 0.500 0.272 Pd
0.500 0.000 0.272 Pd
0.000 0.500 0.728 Pd
0.500 0.000 0.728 Pd
0.500 0.500 0.500 Pd
```

Calculated values
The value obtained for the total magnetization is 0.000 μB/f.u. The density is 8.1 g/cm3. For the formation enthalpy at 0 K, the calculation gives -0.617 eV per atom. As for the raw total energy: -44.41 eV per formula unit.

A plane-wave DFT calculation with PBE was carried out for a relaxed LiLaGa4Pd2 crystal.

Cell and atoms, written as POSCAR:
```
LiLaGa4Pd2
1.0
4.344 0.000 0.000
2.172 3.762 0.000
2.172 1.254 8.894
Li La Ga Pd
1 1 4 2
Direct
0.500 0.500 0.500 Li
0.000 0.000 0.000 La
0.402 0.402 0.793 Ga
0.871 0.871 0.386 Ga
0.129 0.129 0.614 Ga
0.598 0.598 0.207 Ga
0.770 0.770 0.691 Pd
0.230 0.230 0.309 Pd
```

Calculated values
The value obtained for the total magnetization is 0.000 μB/f.u. The density is 7.3 g/cm3. For the formation enthalpy at 0 K, the calculation gives -0.643 eV per atom. As for the raw total energy: -34.48 eV per formula unit.

A plane-wave DFT calculation with PBE was carried out for a relaxed LiLa2Ga6Pd crystal.

Cell and atoms, written as POSCAR:
```
LiLa2Ga6Pd
1.0
6.701 0.002 -0.001
0.003 6.703 -0.001
3.351 3.351 4.715
Li La Ga Pd
1 2 6 1
Direct
0.500 0.500 0.000 Li
0.250 0.750 0.500 La
0.750 0.250 0.500 La
0.262 0.738 0.000 Ga
0.739 0.739 0.000 Ga
0.261 0.261 0.477 Ga
0.738 0.262 0.000 Ga
0.261 0.261 0.000 Ga
0.739 0.739 0.523 Ga
0.000 0.000 0.000 Pd
```

Calculated values
The value obtained for the total magnetization is 0.000 μB/f.u. The density is 6.3 g/cm3. For the formation enthalpy at 0 K, the calculation gives -0.385 eV per atom. As for the raw total energy: -38.98 eV per formula unit.

A plane-wave DFT calculation with PBE was carried out for a relaxed LiLaGaPd crystal.

Cell and atoms, written as POSCAR:
```
LiLaGaPd
1.0
4.519 0.000 0.000
-2.259 3.923 -0.002
0.000 -2.611 4.840
Li La Ga Pd
1 1 1 1
Direct
0.826 0.653 0.122 Li
0.623 0.247 0.511 La
0.092 0.184 0.919 Ga
0.424 0.849 0.916 Pd
```

Calculated values
The value obtained for the total magnetization is 0.000 μB/f.u. The density is 6.2 g/cm3. For the formation enthalpy at 0 K, the calculation gives -0.590 eV per atom. As for the raw total energy: -17.42 eV per formula unit. As for the energy relative to the lowest polymorph listed for this composition: 0.000 eV/atom.